The following is a PBE-GGA calculation of LaB2Rh after structural relaxation, from the Alexandria database.

Results
Energy of formation from the pure elements (eV/f.u.): -1.14
DOS(E_F) (states/eV per atom): 0.390
Theoretical density (Mg/m³): 6.3
ΔE to the lowest computed polymorph (eV per atom): 0.000

abc: 4.619 4.619 7.273
angles: 71.49 71.49 90.00
Positions (direct):
B  0.375  0.125  0.250
B  0.375  0.625  0.250
B  0.375  0.625  0.750
B  0.875  0.625  0.750
Rh  0.500  0.500  0.000
Rh  0.250  0.750  0.500
La  0.000  0.000  0.000
La  0.750  0.250  0.500